Record 1
# Na3NiRh3S8

Crystalline Na3NiRh3S8 at its relaxed geometry (PBE, Alexandria).

abc: 7.1412 7.1412 19.3692
angles: 90.00 90.00 120.00
Space group R-3m (No. 166, hexagonal axes)
Unique sites:
Na 0.0000 0.5000 0.0000 (multiplicity 9)
Ni 0.0000 0.0000 0.5000 (multiplicity 3)
Rh 0.0000 0.5000 0.5000 (multiplicity 9)
S 0.0000 0.0000 0.2296 (multiplicity 6)
S 0.0102 0.5051 0.2268 (multiplicity 18)

Output
The value obtained for the raw formation energy is -0.648 eV per atom.



Record 2
# Be3V2Si

Crystalline Be3V2Si at its relaxed geometry (PBE, Alexandria).

abc: 4.3925 4.3925 11.0378
angles: 90.00 90.00 120.00
Space group R-3m (No. 166, hexagonal axes)
Unique sites:
Be 0.0000 0.5000 0.0000 (multiplicity 9)
V 0.0000 0.0000 0.1262 (multiplicity 6)
Si 0.0000 0.0000 0.5000 (multiplicity 3)

Output
The value obtained for the raw formation energy is -0.421 eV per atom.



Record 3
# KZnAsSe2

Crystalline KZnAsSe2 at its relaxed geometry (PBE, Alexandria).

abc: 6.380 6.380 6.771
angles: 90.00 90.00 90.00
Space group P4/mmm (No. 123)
Unique sites:
K 0.000 0.000 0.000 (multiplicity 1)
Zn 0.500 0.500 0.500 (multiplicity 1)
As 0.000 0.000 0.500 (multiplicity 1)
Se 0.000 0.500 0.000 (multiplicity 2)

Output
The value obtained for the raw formation energy is 1.114 eV per atom.



Record 4
# Fe2AgHg

Crystalline Fe2AgHg at its relaxed geometry (PBE, Alexandria).

abc: 4.011 4.011 7.811
angles: 90.00 90.00 90.00
Space group I-4m2 (No. 119)
Unique sites:
Fe 0.000 0.000 0.000 (multiplicity 2)
Fe 0.000 0.500 0.250 (multiplicity 2)
Ag 0.000 0.000 0.500 (multiplicity 2)
Hg 0.000 0.500 0.750 (multiplicity 2)

Output
The calculation puts the formation energy at 0.43 eV/atom.



no.,N(E_F) (states/eV/cell)
1,0.02
2,4.19
3,6.78
4,6.35